Entry 1:
Compound: Pa2Co2Ir
Source: Alexandria
Functional: PBE-GGA
Structure: relaxed

Lattice parameters (Å, degrees): 4.018 5.110 5.110 73.68 66.85 66.85
Positions (direct):
Pa: 0.222 0.278 0.278
Co: 0.500 0.301 0.699
Pa: 0.778 0.722 0.722
Ir: 0.000 0.000 0.000
Co: 0.500 0.699 0.301

Energy of formation ... -0.5472 eV per atom
Crystal system ... orthorhombic

=====

Entry 2:
Compound: PaCoIr2
Source: Alexandria
Functional: PBE-GGA
Structure: relaxed

Lattice parameters (Å, degrees): 4.025 4.007 4.007 90.00 90.00 90.00
Positions (direct):
Ir: 0.000 0.000 0.500
Ir: 0.000 0.500 0.000
Co: 0.500 0.000 0.000
Pa: 0.500 0.500 0.500

Energy of formation ... -0.6707 eV per atom
Crystal system ... tetragonal

=====

Entry 3:
Compound: Pa2Co9Ir
Source: Alexandria
Functional: PBE-GGA
Structure: relaxed

Lattice parameters (Å, degrees): 4.829 4.829 8.485 73.47 73.47 60.00
Positions (direct):
Co: 0.500 0.500 0.500
Co: 0.582 0.582 0.756
Co: 0.418 0.418 0.244
Co: 0.334 0.334 0.998
Co: 0.920 0.418 0.244
Co: 0.666 0.666 0.002
Pa: 0.129 0.129 0.612
Pa: 0.871 0.871 0.388
Co: 0.418 0.920 0.244
Ir: 0.000 0.000 0.000
Co: 0.582 0.080 0.756
Co: 0.080 0.582 0.756

Energy of formation ... -0.0583 eV per atom
Crystal system ... trigonal

=====

Entry 4:
Compound: Pa8CoIr5
Source: Alexandria
Functional: PBE-GGA
Structure: relaxed

Lattice parameters (Å, degrees): 7.381 7.381 7.381 109.74 108.93 109.74
Positions (direct):
Pa: 0.255 0.267 0.392
Pa: 0.013 0.138 0.745
Ir: 0.500 0.000 0.500
Co: 0.250 0.500 0.750
Ir: 0.882 0.871 0.243
Pa: 0.618 0.370 0.873
Ir: 0.757 0.639 0.628
Pa: 0.503 0.630 0.248
Ir: 0.372 0.129 0.011
Pa: 0.125 0.733 0.987
Pa: 0.608 0.862 0.875
Pa: 0.127 0.745 0.497
Pa: 0.752 0.255 0.382
Ir: 0.989 0.361 0.118

Energy of formation ... -0.5874 eV per atom
Crystal system ... tetragonal

=====

Entry 5:
Compound: Pa3CoIr2
Source: Alexandria
Functional: PBE-GGA
Structure: relaxed

Lattice parameters (Å, degrees): 5.797 7.284 6.801 103.25 115.23 90.00
Positions (direct):
Pa: 0.075 0.624 0.324
Ir: 0.756 0.030 0.327
Pa: 0.750 0.876 0.676
Co: 0.883 0.750 0.000
Co: 0.117 0.250 0.000
Ir: 0.429 0.470 0.673
Pa: 0.250 0.124 0.324
Pa: 0.604 0.250 0.000
Ir: 0.571 0.530 0.327
Ir: 0.244 0.970 0.673
Pa: 0.925 0.376 0.676
Pa: 0.396 0.750 0.000

Energy of formation ... -0.6256 eV per atom
Crystal system ... monoclinic

=====

Entry 6:
Compound: PmPaCoIr
Source: Alexandria
Functional: PBE-GGA
Structure: relaxed

Lattice parameters (Å, degrees): 4.863 4.863 4.863 60.00 60.00 60.00
Positions (direct):
Co: 0.500 0.500 0.500
Pm: 0.250 0.250 0.250
Ir: 0.000 0.000 0.000
Pa: 0.750 0.750 0.750

Energy of formation ... -0.2926 eV per atom
Crystal system ... cubic

=====

Entry 7:
Compound: PaCoIrPt
Source: Alexandria
Functional: PBE-GGA
Structure: relaxed

Lattice parameters (Å, degrees): 3.919 4.118 4.091 90.00 90.00 90.00
Positions (direct):
Co: 0.000 0.000 0.000
Pt: 0.500 0.500 0.000
Ir: 0.000 0.500 0.500
Pa: 0.500 0.000 0.500

Energy of formation ... -0.7440 eV per atom
Crystal system ... orthorhombic

=====

Entry 8:
Compound: PaCoIrRu
Source: Alexandria
Functional: PBE-GGA
Structure: relaxed

Lattice parameters (Å, degrees): 3.954 3.987 4.044 90.00 90.00 90.00
Positions (direct):
Co: 0.000 0.500 0.500
Pa: 0.500 0.500 0.000
Ru: 0.000 0.000 0.000
Ir: 0.500 0.000 0.500

Energy of formation ... -0.5256 eV per atom
Crystal system ... orthorhombic

=====

Entry 9:
Compound: ScPaCoIr
Source: Alexandria
Functional: PBE-GGA
Structure: relaxed

Lattice parameters (Å, degrees): 4.695 4.695 4.695 60.00 60.00 60.00
Positions (direct):
Co: 0.500 0.500 0.500
Pa: 0.750 0.750 0.750
Ir: 0.000 0.000 0.000
Sc: 0.250 0.250 0.250

Energy of formation ... -0.4949 eV per atom
Crystal system ... cubic

=====

Entry 10:
Compound: PaCoSi2Ir2
Source: Alexandria
Functional: PBE-GGA
Structure: relaxed

Lattice parameters (Å, degrees): 4.295 4.295 5.325 90.00 90.00 90.00
Positions (direct):
Ir: 0.500 0.500 0.260
Pa: 0.000 0.000 0.500
Co: 0.000 0.000 0.000
Si: 0.000 0.500 0.000
Ir: 0.500 0.500 0.740
Si: 0.500 0.000 0.000

Crystal system ... tetragonal
Energy relative to the elements, uncorrected ... -0.400 eV per atom

=====

Entry 11:
Compound: Pa2CoSi3Ir4
Source: Alexandria
Functional: PBE-GGA
Structure: relaxed

Lattice parameters (Å, degrees): 4.064 4.064 10.116 90.00 90.00 90.00
Positions (direct):
Ir: 0.000 0.500 0.365
Pa: 0.500 0.000 0.252
Pa: 0.000 0.500 0.748
Ir: 0.500 0.500 0.000
Ir: 0.500 0.000 0.635
Ir: 0.000 0.000 0.000
Si: 0.500 0.000 0.868
Si: 0.000 0.500 0.132
Co: 0.500 0.500 0.500
Si: 0.000 0.000 0.500

Crystal system ... tetragonal
Energy relative to the elements, uncorrected ... -0.859 eV per atom

=====

Entry 12:
Compound: Pa2Co4Si3Ir
Source: Alexandria
Functional: PBE-GGA
Structure: relaxed

Lattice parameters (Å, degrees): 3.738 3.738 10.640 90.00 90.00 90.00
Positions (direct):
Si: 0.000 0.000 0.500
Si: 0.000 0.500 0.117
Co: 0.000 0.500 0.331
Pa: 0.000 0.500 0.743
Ir: 0.500 0.500 0.500
Co: 0.500 0.500 0.000
Si: 0.500 0.000 0.883
Co: 0.500 0.000 0.669
Pa: 0.500 0.000 0.257
Co: 0.000 0.000 0.000

Crystal system ... tetragonal
Energy relative to the elements, uncorrected ... -0.679 eV per atom

=====

Entry 13:
Compound: Pa2Co3Si4Ir
Source: Alexandria
Functional: PBE-GGA
Structure: relaxed

Lattice parameters (Å, degrees): 3.962 3.962 9.616 90.00 90.00 90.00
Positions (direct):
Pa: 0.500 0.000 0.244
Co: 0.000 0.000 0.500
Co: 0.500 0.000 0.875
Si: 0.000 0.000 0.000
Si: 0.500 0.500 0.000
Si: 0.500 0.000 0.639
Pa: 0.000 0.500 0.756
Ir: 0.500 0.500 0.500
Co: 0.000 0.500 0.125
Si: 0.000 0.500 0.361

Crystal system ... tetragonal
Energy relative to the elements, uncorrected ... -0.862 eV per atom

=====

Entry 14:
Compound: PaCo2Si2Ir
Source: Alexandria
Functional: PBE-GGA
Structure: relaxed

Lattice parameters (Å, degrees): 3.982 3.982 6.379 90.00 90.00 120.00
Positions (direct):
Si: 0.667 0.333 0.673
Ir: 0.000 0.000 0.500
Pa: 0.000 0.000 0.000
Co: 0.333 0.667 0.725
Co: 0.667 0.333 0.275
Si: 0.333 0.667 0.327

Crystal system ... trigonal
Energy relative to the elements, uncorrected ... -0.692 eV per atom

=====

Entry 15:
Compound: Pa3Co9Si2Ir
Source: Alexandria
Functional: PBE-GGA
Structure: relaxed

Lattice parameters (Å, degrees): 5.088 5.088 10.652 90.00 90.00 120.00
Positions (direct):
Co: 0.333 0.166 0.682
Si: 0.333 0.667 0.159
Co: 0.667 0.834 0.318
Ir: 0.000 0.000 0.500
Co: 0.166 0.333 0.318
Pa: 0.667 0.333 0.380
Si: 0.667 0.333 0.841
Co: 0.500 0.500 0.000
Co: 0.834 0.667 0.682
Co: 0.166 0.834 0.318
Co: 0.000 0.500 0.000
Pa: 0.000 0.000 0.000
Co: 0.834 0.166 0.682
Co: 0.500 0.000 0.000
Pa: 0.333 0.667 0.620

Crystal system ... trigonal
Energy relative to the elements, uncorrected ... -0.171 eV per atom

=====

Entry 16:
Compound: PaCoSnIr
Source: Alexandria
Functional: PBE-GGA
Structure: relaxed

Lattice parameters (Å, degrees): 4.718 4.718 4.718 60.00 60.00 60.00
Positions (direct):
Ir: 0.250 0.250 0.250
Pa: 0.500 0.500 0.500
Sn: 0.000 0.000 0.000
Co: 0.750 0.750 0.750

Energy of formation ... -0.3351 eV per atom
Crystal system ... cubic

=====

Entry 17:
Compound: TmPaCoIr
Source: Alexandria
Functional: PBE-GGA
Structure: relaxed

Lattice parameters (Å, degrees): 4.789 4.789 4.789 60.00 60.00 60.00
Positions (direct):
Co: 0.500 0.500 0.500
Pa: 0.750 0.750 0.750
Ir: 0.000 0.000 0.000
Tm: 0.250 0.250 0.250

Energy of formation ... -0.4603 eV per atom
Crystal system ... cubic

=====

Entry 18:
Compound: TmPaCoIr
Source: Alexandria
Functional: PBE-GGA
Structure: relaxed

Lattice parameters (Å, degrees): 3.819 4.165 5.335 90.00 110.97 90.00
Positions (direct):
Ir: 0.584 0.500 0.168
Co: 0.394 0.000 0.789
Tm: 0.866 0.500 0.732
Pa: 0.156 0.000 0.311

Energy of formation ... -0.6284 eV per atom
Crystal system ... orthorhombic

=====

Entry 19:
Compound: YPaCoIr
Source: Alexandria
Functional: PBE-GGA
Structure: relaxed

Lattice parameters (Å, degrees): 3.648 4.237 5.709 90.00 108.64 90.00
Positions (direct):
Ir: 0.590 0.500 0.180
Pa: 0.119 0.000 0.239
Co: 0.434 0.000 0.868
Y: 0.857 0.500 0.714

Energy of formation ... -0.5741 eV per atom
Crystal system ... orthorhombic

=====

Entry 20:
Compound: YPaCoIr
Source: Alexandria
Functional: PBE-GGA
Structure: relaxed

Lattice parameters (Å, degrees): 4.820 4.820 4.820 60.00 60.00 60.00
Positions (direct):
Y: 0.250 0.250 0.250
Co: 0.000 0.000 0.000
Ir: 0.500 0.500 0.500
Pa: 0.750 0.750 0.750

Energy of formation ... -0.3916 eV per atom
Crystal system ... cubic